Record 1
A relaxed Pd10Pb crystal. Source: OQMD via LeMat-Bulk, functional PBE.

Unit cell a=4.779 b=4.779 c=29.825 alpha=90.38 beta=90.38 gamma=48.35
Element x y z (fractional)
Pd  0.048  0.048  0.395
Pd  0.049  0.049  0.694
Pd  0.143  0.143  0.786
Pd  0.150  0.150  0.485
Pd  0.252  0.252  0.575
Pd  0.255  0.255  0.275
Pd  0.349  0.349  0.366
Pd  0.350  0.350  0.665
Pd  0.445  0.445  0.755
Pd  0.450  0.450  0.455
Pd  0.550  0.550  0.545
Pd  0.555  0.555  0.245
Pd  0.650  0.650  0.335
Pd  0.651  0.651  0.634
Pd  0.745  0.745  0.725
Pd  0.748  0.748  0.425
Pd  0.850  0.850  0.515
Pd  0.857  0.857  0.214
Pd  0.951  0.951  0.306
Pd  0.952  0.952  0.605
Pb  0.157  0.157  0.181
Pb  0.843  0.843  0.819

Properties
Final energy (Ha/atom): -0.18654

Record 2
A relaxed Pd124Pb crystal. Source: OQMD via LeMat-Bulk, functional PBE.

Unit cell a=13.875 b=13.875 c=13.875 alpha=60.00 beta=60.00 gamma=60.00
Element x y z (fractional)
Pd  0.099  0.500  0.500
Pd  0.099  0.500  0.700
Pd  0.099  0.500  0.901
Pd  0.099  0.700  0.500
Pd  0.099  0.700  0.700
Pd  0.099  0.901  0.500
Pd  0.100  0.100  0.100
Pd  0.100  0.100  0.300
Pd  0.100  0.100  0.500
Pd  0.100  0.100  0.700
Pd  0.100  0.100  0.900
Pd  0.100  0.300  0.100
Pd  0.100  0.300  0.300
Pd  0.100  0.300  0.500
Pd  0.100  0.300  0.700
Pd  0.100  0.300  0.900
Pd  0.100  0.500  0.100
Pd  0.100  0.500  0.300
Pd  0.100  0.700  0.100
Pd  0.100  0.700  0.300
Pd  0.100  0.700  0.900
Pd  0.100  0.900  0.100
Pd  0.100  0.900  0.300
Pd  0.100  0.900  0.700
Pd  0.100  0.900  0.900
Pd  0.297  0.500  0.500
Pd  0.297  0.500  0.703
Pd  0.297  0.703  0.500
Pd  0.299  0.299  0.701
Pd  0.299  0.701  0.299
Pd  0.299  0.701  0.701
Pd  0.300  0.100  0.100
Pd  0.300  0.100  0.300
Pd  0.300  0.100  0.500
Pd  0.300  0.100  0.700
Pd  0.300  0.100  0.900
Pd  0.300  0.300  0.100
Pd  0.300  0.300  0.300
Pd  0.300  0.300  0.500
Pd  0.300  0.300  0.901
Pd  0.300  0.500  0.100
Pd  0.300  0.500  0.300
Pd  0.300  0.500  0.901
Pd  0.300  0.700  0.100
Pd  0.300  0.700  0.900
Pd  0.300  0.900  0.100
Pd  0.300  0.900  0.700
Pd  0.300  0.900  0.900
Pd  0.300  0.901  0.300
Pd  0.300  0.901  0.500
Pd  0.500  0.099  0.500
Pd  0.500  0.099  0.700
Pd  0.500  0.099  0.901
Pd  0.500  0.100  0.100
Pd  0.500  0.100  0.300
Pd  0.500  0.297  0.500
Pd  0.500  0.297  0.703
Pd  0.500  0.300  0.100
Pd  0.500  0.300  0.300
Pd  0.500  0.300  0.901
Pd  0.500  0.500  0.099
Pd  0.500  0.500  0.297
Pd  0.500  0.500  0.703
Pd  0.500  0.500  0.901
Pd  0.500  0.700  0.099
Pd  0.500  0.700  0.700
Pd  0.500  0.700  0.900
Pd  0.500  0.703  0.297
Pd  0.500  0.703  0.500
Pd  0.500  0.900  0.700
Pd  0.500  0.900  0.900
Pd  0.500  0.901  0.099
Pd  0.500  0.901  0.300
Pd  0.500  0.901  0.500
Pd  0.700  0.099  0.500
Pd  0.700  0.099  0.700
Pd  0.700  0.100  0.100
Pd  0.700  0.100  0.300
Pd  0.700  0.100  0.900
Pd  0.700  0.300  0.100
Pd  0.700  0.300  0.900
Pd  0.700  0.500  0.099
Pd  0.700  0.500  0.700
Pd  0.700  0.500  0.900
Pd  0.700  0.700  0.099
Pd  0.700  0.700  0.500
Pd  0.700  0.700  0.700
Pd  0.700  0.700  0.900
Pd  0.700  0.900  0.100
Pd  0.700  0.900  0.300
Pd  0.700  0.900  0.500
Pd  0.700  0.900  0.700
Pd  0.700  0.900  0.900
Pd  0.701  0.299  0.299
Pd  0.701  0.299  0.701
Pd  0.701  0.701  0.299
Pd  0.703  0.297  0.500
Pd  0.703  0.500  0.297
Pd  0.703  0.500  0.500
Pd  0.900  0.100  0.100
Pd  0.900  0.100  0.300
Pd  0.900  0.100  0.700
Pd  0.900  0.100  0.900
Pd  0.900  0.300  0.100
Pd  0.900  0.300  0.700
Pd  0.900  0.300  0.900
Pd  0.900  0.500  0.700
Pd  0.900  0.500  0.900
Pd  0.900  0.700  0.100
Pd  0.900  0.700  0.300
Pd  0.900  0.700  0.500
Pd  0.900  0.700  0.700
Pd  0.900  0.700  0.900
Pd  0.900  0.900  0.100
Pd  0.900  0.900  0.300
Pd  0.900  0.900  0.500
Pd  0.900  0.900  0.700
Pd  0.900  0.900  0.900
Pd  0.901  0.099  0.500
Pd  0.901  0.300  0.300
Pd  0.901  0.300  0.500
Pd  0.901  0.500  0.099
Pd  0.901  0.500  0.300
Pd  0.901  0.500  0.500
Pb  0.500  0.500  0.500

Properties
Final energy (Ha/atom): -0.19004

Record 3
A relaxed PdPb crystal. Source: OQMD via LeMat-Bulk, functional PBE.

Unit cell a=3.402 b=3.402 c=4.269 alpha=90.00 beta=90.00 gamma=120.00
Element x y z (fractional)
Pd  0.000  0.000  0.000
Pb  0.333  0.667  0.500

Properties
Final energy (Ha/atom): -0.16722

Record 4
A relaxed Pd7Pb2 crystal. Source: OQMD via LeMat-Bulk, functional PBE.

Unit cell a=3.019 b=3.019 c=30.715 alpha=90.00 beta=90.00 gamma=120.00
Element x y z (fractional)
Pd  0.000  0.000  0.000
Pd  0.000  0.000  0.206
Pd  0.000  0.000  0.794
Pd  0.333  0.667  0.136
Pd  0.333  0.667  0.933
Pd  0.667  0.333  0.067
Pd  0.667  0.333  0.864
Pb  0.333  0.667  0.717
Pb  0.667  0.333  0.283

Properties
Final energy (Ha/atom): -0.17290

Record 5
A relaxed Pr5PdPb3 crystal. Source: OQMD via LeMat-Bulk, functional PBE.

Unit cell a=9.611 b=9.611 c=7.055 alpha=90.00 beta=90.00 gamma=120.00
Element x y z (fractional)
Pr  0.000  0.251  0.250
Pr  0.000  0.749  0.750
Pr  0.251  0.000  0.250
Pr  0.251  0.251  0.750
Pr  0.333  0.667  0.000
Pr  0.333  0.667  0.500
Pr  0.667  0.333  0.000
Pr  0.667  0.333  0.500
Pr  0.749  0.000  0.750
Pr  0.749  0.749  0.250
Pd  0.000  0.000  0.000
Pd  0.000  0.000  0.500
Pb  0.000  0.395  0.750
Pb  0.000  0.605  0.250
Pb  0.395  0.000  0.750
Pb  0.395  0.395  0.250
Pb  0.605  0.000  0.250
Pb  0.605  0.605  0.750

Properties
Final energy (Ha/atom): -0.18652
Total magnetization (Bohr magnetons per cell): 1.53

Record 6
A relaxed PrPdPb crystal. Source: OQMD via LeMat-Bulk, functional PBE.

Unit cell a=7.524 b=7.524 c=4.606 alpha=90.00 beta=90.00 gamma=120.00
Element x y z (fractional)
Pr  0.000  0.576  0.000
Pr  0.424  0.424  0.000
Pr  0.576  0.000  0.000
Pd  0.000  0.238  0.500
Pd  0.238  0.000  0.500
Pd  0.762  0.762  0.500
Pb  0.000  0.000  0.000
Pb  0.333  0.667  0.500
Pb  0.667  0.333  0.500

Properties
Final energy (Ha/atom): -0.18875
Total magnetization (Bohr magnetons per cell): 0.00

Record 7
A relaxed PrPdPb crystal. Source: OQMD via LeMat-Bulk, functional PBE.

Unit cell a=4.856 b=4.856 c=7.372 alpha=90.00 beta=90.00 gamma=120.00
Element x y z (fractional)
Pr  0.000  0.000  0.000
Pr  0.000  0.000  0.500
Pd  0.333  0.667  0.279
Pd  0.667  0.333  0.779
Pb  0.333  0.667  0.737
Pb  0.667  0.333  0.237

Properties
Final energy (Ha/atom): -0.19153
Total magnetization (Bohr magnetons per cell): 0.01

Record 8
A relaxed PrPdPb crystal. Source: OQMD via LeMat-Bulk, functional PBE.

Unit cell a=5.297 b=5.297 c=6.359 alpha=90.00 beta=90.00 gamma=120.00
Element x y z (fractional)
Pr  0.333  0.667  0.250
Pr  0.667  0.333  0.750
Pd  0.000  0.000  0.000
Pd  0.000  0.000  0.500
Pb  0.333  0.667  0.750
Pb  0.667  0.333  0.250

Properties
Final energy (Ha/atom): -0.17898
Total magnetization (Bohr magnetons per cell): 0.02

Record 9
A relaxed PrPdPb crystal. Source: OQMD via LeMat-Bulk, functional PBE.

Unit cell a=4.867 b=4.867 c=7.308 alpha=90.00 beta=90.00 gamma=120.00
Element x y z (fractional)
Pr  0.000  0.000  0.000
Pr  0.000  0.000  0.500
Pd  0.333  0.667  0.250
Pd  0.667  0.333  0.750
Pb  0.333  0.667  0.750
Pb  0.667  0.333  0.250

Properties
Final energy (Ha/atom): -0.19144
Total magnetization (Bohr magnetons per cell): 0.00

Record 10
A relaxed PrPdPb crystal. Source: OQMD via LeMat-Bulk, functional PBE.

Unit cell a=7.832 b=7.832 c=4.176 alpha=90.00 beta=90.00 gamma=120.00
Element x y z (fractional)
Pr  0.000  0.591  0.000
Pr  0.409  0.409  0.000
Pr  0.591  0.000  0.000
Pd  0.000  0.000  0.000
Pd  0.333  0.667  0.500
Pd  0.667  0.333  0.500
Pb  0.000  0.256  0.500
Pb  0.256  0.000  0.500
Pb  0.744  0.744  0.500

Properties
Final energy (Ha/atom): -0.19390
Total magnetization (Bohr magnetons per cell): 0.00

Record 11
A relaxed Pr2PdPtPb4 crystal. Source: OQMD via LeMat-Bulk, functional PBE.

Unit cell a=4.542 b=4.551 c=10.518 alpha=90.00 beta=91.94 gamma=90.00
Element x y z (fractional)
Pr  0.000  0.000  0.000
Pr  0.450  0.500  0.491
Pd  0.509  0.500  0.924
Pt  0.927  0.000  0.563
Pb  0.465  0.000  0.746
Pb  0.486  0.500  0.185
Pb  0.955  0.000  0.304
Pb  0.977  0.500  0.744

Properties
Final energy (Ha/atom): -0.18220
Total magnetization (Bohr magnetons per cell): 0.00

Record 12
A relaxed Pr2Pd3PtPb2 crystal. Source: OQMD via LeMat-Bulk, functional PBE.

Unit cell a=4.751 b=4.751 c=9.196 alpha=90.00 beta=90.00 gamma=120.00
Element x y z (fractional)
Pr  0.000  0.000  0.000
Pr  0.333  0.667  0.505
Pd  0.000  0.000  0.340
Pd  0.000  0.000  0.660
Pd  0.333  0.667  0.167
Pt  0.333  0.667  0.845
Pb  0.667  0.333  0.254
Pb  0.667  0.333  0.752

Properties
Final energy (Ha/atom): -0.20204
Total magnetization (Bohr magnetons per cell): 0.01

Record 13
A relaxed Tb2PrPd3Pb3 crystal. Source: OQMD via LeMat-Bulk, functional PBE.

Unit cell a=3.943 b=7.900 c=7.900 alpha=120.26 beta=90.00 gamma=90.00
Element x y z (fractional)
Tb  0.000  0.201  0.799
Tb  0.000  0.799  0.201
Pr  0.000  0.396  0.396
Pd  0.000  0.803  0.803
Pd  0.500  0.128  0.468
Pd  0.500  0.468  0.128
Pb  0.500  0.062  0.062
Pb  0.500  0.536  0.802
Pb  0.500  0.802  0.536

Properties
Final energy (Ha/atom): -0.19270
Total magnetization (Bohr magnetons per cell): 0.00

Record 14
A relaxed Pr2YPd3Pb3 crystal. Source: OQMD via LeMat-Bulk, functional PBE.

Unit cell a=4.010 b=7.910 c=7.910 alpha=119.87 beta=90.00 gamma=90.00
Element x y z (fractional)
Pr  0.000  0.202  0.798
Pr  0.000  0.798  0.202
Y  0.000  0.396  0.396
Pd  0.000  0.793  0.793
Pd  0.500  0.136  0.462
Pd  0.500  0.462  0.136
Pb  0.500  0.061  0.061
Pb  0.500  0.535  0.794
Pb  0.500  0.794  0.535

Properties
Final energy (Ha/atom): -0.20072
Total magnetization (Bohr magnetons per cell): 0.00

Record 15
A relaxed Pd5PtPb2 crystal. Source: OQMD via LeMat-Bulk, functional PBE.

Unit cell a=5.798 b=11.599 c=4.118 alpha=90.00 beta=90.00 gamma=90.00
Element x y z (fractional)
Pd  0.000  0.000  0.000
Pd  0.001  0.251  0.000
Pd  0.249  0.624  0.500
Pd  0.251  0.124  0.500
Pd  0.499  0.751  0.000
Pd  0.500  0.500  0.000
Pd  0.501  0.249  0.000
Pd  0.749  0.876  0.500
Pd  0.751  0.376  0.500
Pd  0.999  0.749  0.000
Pt  0.000  0.500  0.000
Pt  0.500  0.000  0.000
Pb  0.247  0.874  0.500
Pb  0.253  0.374  0.500
Pb  0.747  0.626  0.500
Pb  0.753  0.126  0.500

Properties
Final energy (Ha/atom): -0.19091
Total magnetization (Bohr magnetons per cell): 0.01

Record 16
A relaxed PdPt2Pb crystal. Source: OQMD via LeMat-Bulk, functional PBE.

Unit cell a=4.636 b=4.636 c=4.636 alpha=60.00 beta=60.00 gamma=60.00
Element x y z (fractional)
Pd  0.000  0.000  0.000
Pt  0.250  0.250  0.250
Pt  0.500  0.500  0.500
Pb  0.750  0.750  0.750

Properties
Final energy (Ha/atom): -0.19518
Total magnetization (Bohr magnetons per cell): 0.00

Record 17
A relaxed Sm3Pd2PtPb3 crystal. Source: OQMD via LeMat-Bulk, functional PBE.

Unit cell a=7.779 b=7.779 c=4.106 alpha=90.00 beta=90.00 gamma=120.00
Element x y z (fractional)
Sm  0.000  0.597  0.000
Sm  0.403  0.403  0.000
Sm  0.597  0.000  0.000
Pd  0.333  0.667  0.500
Pd  0.667  0.333  0.500
Pt  0.000  0.000  0.000
Pb  0.000  0.262  0.500
Pb  0.262  0.000  0.500
Pb  0.738  0.738  0.500

Properties
Final energy (Ha/atom): -0.19784
Total magnetization (Bohr magnetons per cell): 0.01

Record 18
A relaxed Sm3PdPt2Pb3 crystal. Source: OQMD via LeMat-Bulk, functional PBE.

Unit cell a=7.843 b=7.843 c=4.048 alpha=90.00 beta=90.00 gamma=120.00
Element x y z (fractional)
Sm  0.000  0.591  0.000
Sm  0.409  0.409  0.000
Sm  0.591  0.000  0.000
Pd  0.000  0.000  0.000
Pt  0.333  0.667  0.500
Pt  0.667  0.333  0.500
Pb  0.000  0.258  0.500
Pb  0.258  0.000  0.500
Pb  0.742  0.742  0.500

Properties
Final energy (Ha/atom): -0.20393
Total magnetization (Bohr magnetons per cell): 0.02